[1]
Density functional theory data (GGA-PBE) for BeAg2S after structural relaxation.

Properties
E_form (uncorrected) ... 0.408 eV/atom

Geometry as extended XYZ:
```
4
Lattice="0.000 3.171 3.171 3.171 0.000 3.171 3.171 3.171 0.000" Properties=species:S:1:pos:R:3 pbc="T T T"
Be 0.000 0.000 0.000
Ag 1.586 1.586 1.586
Ag 4.757 4.757 4.757
S 3.171 3.171 3.171
```

---

[2]
Density functional theory data (GGA-PBE) for PuScCu2Si2 after structural relaxation.

Properties
E_form (uncorrected) ... -0.492 eV/atom

Geometry as extended XYZ:
```
6
Lattice="4.114 0.000 0.000 -2.057 3.563 0.000 0.000 0.000 7.109" Properties=species:S:1:pos:R:3 pbc="T T T"
Pu 0.000 0.000 0.000
Sc 0.000 0.000 3.554
Cu 0.000 2.375 5.027
Cu 2.057 1.188 2.082
Si 0.000 2.375 1.887
Si 2.057 1.188 5.222
```

---

[3]
Density functional theory data (GGA-PBE) for CdInTc after structural relaxation.

Properties
ΔH_f (0 K) ... 0.6468 eV/atom

Geometry as extended XYZ:
```
3
Lattice="0.000 3.245 3.245 3.245 0.000 3.245 3.245 3.245 0.000" Properties=species:S:1:pos:R:3 pbc="T T T"
Cd 0.000 0.000 0.000
In 3.245 3.245 3.245
Tc 1.623 1.623 1.623
```

---

[4]
Density functional theory data (GGA-PBE) for CeCuRu after structural relaxation.

Properties
ΔH_f (0 K) ... -0.0639 eV/atom

Geometry as extended XYZ:
```
3
Lattice="4.269 0.000 0.000 -2.134 3.697 0.000 0.000 0.000 3.680" Properties=species:S:1:pos:R:3 pbc="T T T"
Ce 0.000 0.000 0.000
Cu 0.000 2.465 1.840
Ru 2.134 1.232 1.840
```

---

[5]
Density functional theory data (GGA-PBE) for Pr5Zr3H12 after structural relaxation.

Properties
Uncorrected energy ... -96.3 eV per formula unit

Geometry as extended XYZ:
```
80
Lattice="-6.511 6.511 6.511 6.511 -6.511 6.511 6.511 6.511 -6.511" Properties=species:S:1:pos:R:3 pbc="T T T"
Pr 0.000 0.000 0.000
Pr 3.255 3.255 -3.255
Pr 3.255 -3.255 3.255
Pr 6.511 0.000 0.000
Pr 9.766 1.628 0.000
Pr 6.511 -3.255 4.883
Pr 4.883 6.511 -3.255
Pr 4.883 0.000 3.255
Pr 3.255 4.883 0.000
Pr 6.511 3.255 1.628
Pr -3.255 3.255 3.255
Pr 0.000 6.511 0.000
Pr 0.000 0.000 6.511
Pr 3.255 3.255 3.255
Pr 0.000 3.255 4.883
Pr 3.255 1.628 6.511
Pr 1.628 6.511 3.255
Pr 1.628 0.000 9.766
Pr 0.000 9.766 1.628
Pr -3.255 4.883 6.511
Zr 3.255 1.628 0.000
Zr 6.511 3.255 -1.628
Zr 1.628 0.000 3.255
Zr 8.139 0.000 3.255
Zr 0.000 3.255 1.628
Zr 3.255 -1.628 6.511
Zr 3.255 8.139 0.000
Zr 6.511 3.255 4.883
Zr -1.628 6.511 3.255
Zr 4.883 6.511 3.255
Zr 0.000 3.255 8.139
Zr 3.255 4.883 6.511
H 8.587 -0.093 1.014
H 7.690 -2.242 3.162
H 6.604 -1.014 2.076
H 9.673 -1.179 2.242
H 2.076 0.093 1.014
H 7.690 4.269 -3.162
H 4.269 3.162 -1.179
H 5.497 2.076 -0.093
H 1.014 2.076 0.093
H 8.753 3.349 -1.179
H 0.093 1.014 2.076
H 3.162 -1.179 4.269
H 6.604 5.497 -2.076
H 3.162 1.179 2.242
H 2.242 3.162 1.179
H 7.524 4.434 -0.093
H 4.269 -3.162 7.690
H 5.497 -2.076 6.604
H 1.179 2.242 3.162
H 2.076 -0.093 5.497
H 3.162 7.690 -2.242
H 6.604 1.014 4.434
H 2.076 6.604 -1.014
H 7.690 2.242 3.349
H -1.179 4.269 3.162
H 4.434 -0.093 7.524
H -0.093 5.497 2.076
H 3.349 -1.179 8.753
H 4.434 6.604 1.014
H 5.332 4.269 3.349
H 1.014 8.587 -0.093
H 2.242 9.673 -1.179
H -1.014 2.076 6.604
H 4.269 3.349 5.332
H 3.349 5.332 4.269
H -0.093 1.014 8.587
H 3.349 7.690 2.242
H 6.418 5.497 4.434
H -2.242 3.162 7.690
H 5.497 4.434 6.418
H 1.014 4.434 6.604
H 2.242 3.349 7.690
H -1.179 2.242 9.673
H 4.434 6.418 5.497
H -3.162 7.690 4.269
H -0.093 7.524 4.434
H -1.179 8.753 3.349
H -2.076 6.604 5.497
```

---

[6]
Density functional theory data (GGA-PBE) for Sn2TePb2 after structural relaxation.

Properties
E_form (uncorrected) ... 0.074 eV/atom

Geometry as extended XYZ:
```
10
Lattice="9.691 0.000 0.000 0.000 9.691 0.000 0.000 0.000 3.358" Properties=species:S:1:pos:R:3 pbc="T T T"
Sn 1.105 3.741 0.000
Sn 3.741 8.586 0.000
Sn 5.950 1.105 0.000
Sn 8.586 5.950 0.000
Te 0.000 0.000 1.679
Te 4.846 4.846 1.679
Pb 1.776 6.621 1.679
Pb 3.070 1.776 1.679
Pb 6.621 7.915 1.679
Pb 7.915 3.070 1.679
```

---

[7]
Density functional theory data (GGA-PBE) for TbDy2ScBi4 after structural relaxation.

Properties
ΔH_f (0 K) ... -0.8036 eV/atom

Geometry as extended XYZ:
```
8
Lattice="7.676 0.000 0.000 0.000 4.435 0.000 -2.559 0.000 7.238" Properties=species:S:1:pos:R:3 pbc="T T T"
Tb 0.000 0.000 0.000
Dy -1.280 2.217 3.619
Dy 2.558 0.000 3.619
Sc 3.838 2.217 0.000
Bi 1.332 2.217 1.781
Bi 0.052 0.000 5.494
Bi 5.065 0.000 1.744
Bi 3.784 2.217 5.458
```

---

[8]
Density functional theory data (GGA-PBE) for Sr5B2N5 after structural relaxation.

Properties
E_form (uncorrected) ... -0.474 eV/atom

Geometry as extended XYZ:
```
12
Lattice="7.037 -1.615 0.000 7.037 1.615 0.000 -5.283 0.000 8.590" Properties=species:S:1:pos:R:3 pbc="T T T"
Sr 0.000 0.000 0.000
Sr 3.694 0.000 1.591
Sr 2.503 0.000 4.685
Sr 6.289 0.000 3.906
Sr 5.098 0.000 7.000
B 0.364 0.000 6.761
B 8.428 0.000 1.829
N -2.641 0.000 4.295
N 1.008 0.000 2.531
N -0.289 0.000 8.014
N 9.081 0.000 0.577
N 7.783 0.000 6.060
```

---

[9]
Density functional theory data (GGA-PBE) for Cs2K2Rb3 after structural relaxation.

Properties
ΔH_f (0 K) ... 0.0659 eV/atom

Geometry as extended XYZ:
```
14
Lattice="-6.987 6.987 6.987 6.987 -6.987 6.987 6.987 6.987 -6.987" Properties=species:S:1:pos:R:3 pbc="T T T"
Cs 6.861 0.126 -0.126
Cs 0.126 0.126 0.126
Cs 0.126 -0.126 6.861
Cs -0.126 6.861 0.126
K 9.453 -2.466 2.466
K 2.466 9.453 -2.466
K 4.521 4.521 4.521
K -2.466 2.466 9.453
Rb 10.481 3.219 0.000
Rb 3.768 0.000 3.494
Rb 3.494 3.768 0.000
Rb 0.000 3.494 3.768
Rb 3.219 0.000 10.481
Rb 0.000 10.481 3.219
```

---

[10]
Density functional theory data (GGA-PBE) for La4TbNd3S8 after structural relaxation.

Properties
E_form (uncorrected) ... -2.095 eV/atom

Geometry as extended XYZ:
```
16
Lattice="4.096 2.365 6.689 -4.096 2.365 6.689 0.000 -4.730 6.689" Properties=species:S:1:pos:R:3 pbc="T T T"
La 0.000 0.000 0.000
La -2.048 -1.182 6.689
La -2.048 1.182 13.377
La 0.000 2.365 6.689
Tb 0.000 0.000 10.033
Nd -4.096 0.000 10.033
Nd -2.048 1.182 3.344
Nd 2.048 1.182 3.344
S 0.000 0.000 4.984
S -2.007 -1.159 11.639
S 0.000 -2.317 8.427
S -2.007 1.159 8.427
S 2.007 -1.159 11.639
S 0.000 2.317 11.639
S 2.007 1.159 8.426
S 0.000 0.000 15.082
```

---

[11]
Density functional theory data (GGA-PBE) for CrCd3Se after structural relaxation.

Properties
E_form (uncorrected) ... 0.744 eV/atom

Geometry as extended XYZ:
```
5
Lattice="5.369 0.000 0.000 0.000 5.369 0.000 0.000 0.000 5.369" Properties=species:S:1:pos:R:3 pbc="T T T"
Cr 0.000 0.000 0.000
Cd 0.000 2.685 2.685
Cd 2.685 0.000 2.685
Cd 2.685 2.685 0.000
Se 2.685 2.685 2.685
```

---

[12]
Density functional theory data (GGA-PBE) for K2PuS2Cl2 after structural relaxation.

Properties
E_form (uncorrected) ... -1.641 eV/atom

Geometry as extended XYZ:
```
7
Lattice="-2.607 2.607 8.080 2.607 -2.607 8.080 2.607 2.607 -8.080" Properties=species:S:1:pos:R:3 pbc="T T T"
K 0.000 0.000 2.215
K 0.000 0.000 13.946
Pu 0.000 0.000 8.080
S 2.607 0.000 0.000
S 0.000 2.607 0.000
Cl 0.000 0.000 5.353
Cl 0.000 0.000 10.807
```

---

Number 1: total moment 0.000 μB/f.u.. Number 2: total moment 5.214 μB/f.u.. Number 3: total moment 1.625 μB/f.u.. Number 4: total moment 0.034 μB/f.u.. Number 5: total moment 0.000 μB/f.u.. Number 6: total moment 0.000 μB/f.u.. Number 7: total moment 0.000 μB/f.u.. Number 8: total moment 0.007 μB/f.u.. Number 9: total moment 0.000 μB/f.u.. Number 10: total moment 0.000 μB/f.u.. Number 11: total moment 4.976 μB/f.u.. Number 12: total moment 4.000 μB/f.u..